Entry 1:
Entry from Alexandria via LeMat-Bulk: a relaxed structure of RuPbSe2 (PBE).

For the total DFT energy (no corrections), the calculation gives -5.0875 eV per atom. The calculation puts the volume at 190.7 Å³ per cell.

abc: 7.549 7.549 6.301
angles: 53.19 53.19 90.00
Element x y z (fractional)
Pb  0.000  0.000  0.000
Pb  0.750  0.250  0.500
Ru  0.500  0.500  0.000
Ru  0.250  0.750  0.500
Se  0.535  0.125  0.250
Se  0.215  0.625  0.250
Se  0.375  0.465  0.750
Se  0.875  0.785  0.750

Entry 2:
Entry from Alexandria via LeMat-Bulk: a relaxed structure of RuPbSe2 (PBE).

For the total DFT energy (no corrections), the calculation gives -4.5823 eV per atom. The calculation puts the volume at 81.9 Å³ per cell.

abc: 4.971 4.971 3.314
angles: 90.00 90.00 90.02
Element x y z (fractional)
Pb  0.500  0.000  0.500
Ru  0.000  0.500  0.500
Se  0.000  0.000  0.000
Se  0.500  0.500  0.000

Entry 3:
Entry from Alexandria via LeMat-Bulk: a relaxed structure of RuPbSe2 (PBE).

For the total DFT energy (no corrections), the calculation gives -4.5373 eV per atom. The calculation puts the volume at 88.5 Å³ per cell.

abc: 10.506 10.506 10.506
angles: 17.20 17.20 17.20
Element x y z (fractional)
Pb  0.500  0.500  0.500
Ru  0.000  0.000  0.000
Se  0.924  0.924  0.924
Se  0.076  0.076  0.076

Entry 4:
Entry from Alexandria via LeMat-Bulk: a relaxed structure of RuPbSe2 (PBE).

For the total DFT energy (no corrections), the calculation gives -4.4506 eV per atom. The calculation puts the volume at 81.7 Å³ per cell.

abc: 5.317 5.317 5.317
angles: 131.87 131.87 70.44
Element x y z (fractional)
Pb  0.500  0.500  0.000
Ru  0.750  0.250  0.500
Se  0.000  0.000  0.000
Se  0.250  0.750  0.500

Entry 5:
Entry from Alexandria via LeMat-Bulk: a relaxed structure of RuPbSe2 (PBE).

For the total DFT energy (no corrections), the calculation gives -4.9072 eV per atom. The calculation puts the volume at 83.5 Å³ per cell.

abc: 3.190 3.190 8.207
angles: 90.00 90.00 89.99
Each line ends with the local moment (μB).
Element x y z (fractional)
Pb  0.500  0.500  0.250  -0.01
Ru  0.500  0.500  0.750  0.43
Se  0.000  0.000  0.931  0.00
Se  0.000  0.000  0.569  0.00

Entry 6:
Entry from Alexandria via LeMat-Bulk: a relaxed structure of RuPbSe2 (PBE).

For the total DFT energy (no corrections), the calculation gives -5.0043 eV per atom. The calculation puts the volume at 96.3 Å³ per cell.

abc: 6.071 6.071 5.720
angles: 65.18 65.18 30.49
Each line ends with the local moment (μB).
Element x y z (fractional)
Pb  0.567  0.567  0.507  0.00
Ru  0.274  0.274  0.076  0.26
Se  0.915  0.915  0.134  -0.01
Se  0.745  0.745  0.783  0.00

Repeat the fifth record exactly.
Entry from Alexandria via LeMat-Bulk: a relaxed structure of RuPbSe2 (PBE).

For the total DFT energy (no corrections), the calculation gives -4.9072 eV per atom. The calculation puts the volume at 83.5 Å³ per cell.

abc: 3.190 3.190 8.207
angles: 90.00 90.00 89.99
Each line ends with the local moment (μB).
Element x y z (fractional)
Pb  0.500  0.500  0.250  -0.01
Ru  0.500  0.500  0.750  0.43
Se  0.000  0.000  0.931  0.00
Se  0.000  0.000  0.569  0.00

- Which formula does entry 5 have?
  RuPbSe2